Pm2FeCuO5 PBE+U optimized geometry; space group = P4/mbm (127); total DFT energy (no corrections) = -6.916 eV/atom
1.0
6.726 0.000 0.000
0.000 6.726 0.000
0.000 0.000 5.540
Pm Fe Cu O
4 2 2 10
Direct
0.177 0.323 0.000
0.323 0.823 0.000
0.677 0.177 0.000
0.823 0.677 0.000
0.000 0.500 0.500
0.500 0.000 0.500
0.000 0.000 0.500
0.500 0.500 0.500
0.000 0.000 0.000
0.132 0.632 0.257
0.132 0.632 0.743
0.368 0.132 0.257
0.368 0.132 0.743
0.500 0.500 0.000
0.632 0.868 0.257
0.632 0.868 0.743
0.868 0.368 0.257
0.868 0.368 0.743